This record from Alexandria describes crystalline LiTe2PN at its relaxed geometry. The functional is PBE-GGA.

VASP energy	-17.1	eV per cell
E_form (uncorrected)	976	meV per atom
energy relative to the lowest polymorph listed for this composition	811.2	meV/atom
calculated volume	90.34	Å³ per cell

abc: 5.0635 5.0635 3.5234
angles: 90.00 90.00 90.00
Closest atoms and distances in Å follow each position.
Space group P4/mmm (No. 123)
Asymmetric unit:
Li 0.0000 0.0000 0.0000 [1 per cell]  2 N 1.76
Te 0.0000 0.5000 0.0000 [2 per cell]  2 Li 2.53
P 0.5000 0.5000 0.5000 [1 per cell]  8 Te 3.08
N 0.0000 0.0000 0.5000 [1 per cell]  2 Li 1.76